[1]
First-principles (PBE) data for crystalline LaPrGaRh at its relaxed geometry, as listed in Alexandria via LeMat-Bulk.

Computed properties:
SG: F-43m, No. 216
Energy relative to the lowest polymorph listed for this composition: 55 kJ/mol of formula units
ΔH_f (0 K): -0.523 eV/atom
Final energy: -5.54 eV per atom

Cell lengths 5.193, 5.193, 5.193 Å; angles 60.00, 60.00, 60.00 degrees
Fractional coordinates of all 4 atoms:
La 0.000 0.000 0.000
Pr 0.500 0.500 0.500
Ga 0.250 0.250 0.250
Rh 0.750 0.750 0.750

***

[2]
First-principles (PBE) data for crystalline LaPrGaRu at its relaxed geometry, as listed in Alexandria via LeMat-Bulk.

Computed properties:
SG: Amm2, No. 38
Energy relative to the lowest polymorph listed for this composition: 0 kJ/mol of formula units
ΔH_f (0 K): -0.411 eV/atom
Final energy: -5.91 eV per atom

Cell lengths 3.937, 6.162, 6.162 Å; angles 42.22, 90.00, 90.00 degrees
Fractional coordinates of all 4 atoms:
La 0.000 0.000 0.000
Pr 0.500 0.719 0.719
Ga 0.000 0.304 0.304
Ru 0.500 0.454 0.454

***

[3]
First-principles (PBE) data for crystalline LaPrGaRu at its relaxed geometry, as listed in Alexandria via LeMat-Bulk.

Computed properties:
SG: F-43m, No. 216
Energy relative to the lowest polymorph listed for this composition: 50 kJ/mol of formula units
ΔH_f (0 K): -0.280 eV/atom
Final energy: -5.78 eV per atom

Cell lengths 5.167, 5.167, 5.167 Å; angles 60.00, 60.00, 60.00 degrees
Fractional coordinates of all 4 atoms:
La 0.000 0.000 0.000
Pr 0.500 0.500 0.500
Ga 0.250 0.250 0.250
Ru 0.750 0.750 0.750

***

[4]
First-principles (PBE) data for crystalline LaPrScGa at its relaxed geometry, as listed in Alexandria via LeMat-Bulk.

Computed properties:
SG: F-43m, No. 216
ΔH_f (0 K): -0.146 eV/atom
Final energy: -4.91 eV per atom

Cell lengths 5.399, 5.399, 5.399 Å; angles 60.00, 60.00, 60.00 degrees
Fractional coordinates of all 4 atoms:
La 0.000 0.000 0.000
Pr 0.500 0.500 0.500
Sc 0.750 0.750 0.750
Ga 0.250 0.250 0.250

***

[5]
First-principles (PBE) data for crystalline LaPrGaSi at its relaxed geometry, as listed in Alexandria via LeMat-Bulk.

Computed properties:
SG: Amm2, No. 38
Energy relative to the lowest polymorph listed for this composition: 0 kJ/mol of formula units
E_form (uncorrected): -0.69 eV per atom
Final energy: -5.23 eV per atom

Cell lengths 4.095, 6.138, 6.138 Å; angles 43.08, 90.00, 90.00 degrees
Fractional coordinates of all 4 atoms:
La 0.000 0.000 0.000
Pr 0.500 0.717 0.717
Ga 0.500 0.424 0.424
Si 0.000 0.287 0.287

***

[6]
First-principles (PBE) data for crystalline La2Pr2Ga4Si at its relaxed geometry, as listed in Alexandria via LeMat-Bulk.

Computed properties:
SG: I4/mmm, No. 139
E_form (uncorrected): -0.37 eV per atom
Final energy: -4.47 eV per atom

Cell lengths 6.804, 6.804, 6.804 Å; angles 116.01, 116.01, 97.07 degrees
Fractional coordinates of all 9 atoms:
La 0.250 0.750 0.500
La 0.750 0.250 0.500
Pr 0.191 0.191 0.000
Pr 0.809 0.809 0.000
Ga 0.260 0.260 0.519
Ga 0.260 0.740 0.000
Ga 0.740 0.260 0.000
Ga 0.740 0.740 0.481
Si 0.500 0.500 0.000

***

[7]
First-principles (PBE) data for crystalline LaPrGaSi at its relaxed geometry, as listed in Alexandria via LeMat-Bulk.

Computed properties:
SG: F-43m, No. 216
Energy relative to the lowest polymorph listed for this composition: 78 kJ/mol of formula units
E_form (uncorrected): -0.48 eV per atom
Final energy: -5.02 eV per atom

Cell lengths 5.257, 5.257, 5.257 Å; angles 60.00, 60.00, 60.00 degrees
Fractional coordinates of all 4 atoms:
La 0.000 0.000 0.000
Pr 0.500 0.500 0.500
Ga 0.750 0.750 0.750
Si 0.250 0.250 0.250

***

[8]
First-principles (PBE) data for crystalline La2PrSmGa2 at its relaxed geometry, as listed in Alexandria via LeMat-Bulk.

Computed properties:
SG: Pmc2_1, No. 26
ΔH_f (0 K): -0.404 eV/atom
Final energy: -4.64 eV per atom

Cell lengths 5.237, 9.800, 6.777 Å; angles 90.00, 90.00, 90.00 degrees
Fractional coordinates of all 12 atoms:
La 0.000 0.056 0.000
La 0.000 0.944 0.500
La 0.500 0.169 0.301
La 0.500 0.831 0.801
Pr 0.000 0.335 0.681
Pr 0.000 0.665 0.181
Sm 0.500 0.443 0.983
Sm 0.500 0.557 0.483
Ga 0.000 0.352 0.204
Ga 0.000 0.648 0.704
Ga 0.500 0.157 0.777
Ga 0.500 0.843 0.277

***

[9]
First-principles (PBE) data for crystalline LaPrGaSn at its relaxed geometry, as listed in Alexandria via LeMat-Bulk.

Computed properties:
SG: F-43m, No. 216
Energy relative to the lowest polymorph listed for this composition: 47 kJ/mol of formula units
ΔH_f (0 K): -0.589 eV/atom
Final energy: -4.77 eV per atom

Cell lengths 5.448, 5.448, 5.448 Å; angles 60.00, 60.00, 60.00 degrees
Fractional coordinates of all 4 atoms:
La 0.000 0.000 0.000
Pr 0.500 0.500 0.500
Ga 0.250 0.250 0.250
Sn 0.750 0.750 0.750

***

[10]
First-principles (PBE) data for crystalline LaPrGaSn at its relaxed geometry, as listed in Alexandria via LeMat-Bulk.

Computed properties:
SG: Amm2, No. 38
Energy relative to the lowest polymorph listed for this composition: 0 kJ/mol of formula units
ΔH_f (0 K): -0.711 eV/atom
Final energy: -4.90 eV per atom

Cell lengths 4.318, 6.332, 6.332 Å; angles 43.39, 90.00, 90.00 degrees
Fractional coordinates of all 4 atoms:
La 0.000 0.000 0.000
Pr 0.500 0.719 0.719
Ga 0.500 0.441 0.441
Sn 0.000 0.286 0.286

***

[11]
First-principles (PBE) data for crystalline LaTbPrGa at its relaxed geometry, as listed in Alexandria via LeMat-Bulk.

Computed properties:
SG: F-43m, No. 216
ΔH_f (0 K): -0.106 eV/atom
Final energy: -4.45 eV per atom

Cell lengths 5.500, 5.500, 5.500 Å; angles 60.00, 60.00, 60.00 degrees
Fractional coordinates of all 4 atoms:
La 0.000 0.000 0.000
Tb 0.750 0.750 0.750
Pr 0.500 0.500 0.500
Ga 0.250 0.250 0.250

***

[12]
First-principles (PBE) data for crystalline La3Pr3TlGa2 at its relaxed geometry, as listed in Alexandria via LeMat-Bulk.

Computed properties:
SG: P-62m, No. 189
ΔH_f (0 K): -0.346 eV/atom
Final energy: -4.52 eV per atom

Cell lengths 8.388, 8.388, 4.594 Å; angles 90.00, 90.00, 120.00 degrees
Fractional coordinates of all 9 atoms:
La 0.000 0.718 0.000
La 0.282 0.282 0.000
La 0.718 0.000 0.000
Pr 0.000 0.412 0.500
Pr 0.412 0.000 0.500
Pr 0.588 0.588 0.500
Tl 0.000 0.000 0.500
Ga 0.333 0.667 0.000
Ga 0.667 0.333 0.000

***

> final energy of number 11 (LaTbPrGa)?

-4.45 eV per atom